Below is a geometry-optimized Sr2CoBiO5 structure, with properties calculated at the PBE with a Hubbard U level.

a = 7.6064 Å, b = 7.6064 Å, c = 10.4597 Å
α = 90.00°, β = 90.00°, γ = 153.63°
Sites, in units of the cell vectors:
1 Sr 0.0981 0.9019 0.5000
2 Sr 0.1270 0.8730 0.1203
3 Sr 0.8730 0.1270 0.6203
4 Sr 0.9019 0.0981 0.0000
5 Co 0.4738 0.5262 0.2686
6 Co 0.5262 0.4738 0.7686
7 Bi 0.2079 0.7921 0.8254
8 Bi 0.7921 0.2079 0.3254
9 O 0.0621 0.9379 0.8615
10 O 0.2807 0.7193 0.4805
11 O 0.3478 0.6522 0.1961
12 O 0.4017 0.5983 0.8153
13 O 0.4916 0.5084 0.5983
14 O 0.5084 0.4916 0.0983
15 O 0.5983 0.4017 0.3153
16 O 0.6522 0.3478 0.6961
17 O 0.7193 0.2807 0.9805
18 O 0.9379 0.0621 0.3615

## Properties
Spin magnetization = 2.03 μB/f.u.
Energy = -5.943 eV per atom
Volume = 268.8 Å³ per cell